No. 1
Y2CoPtC after structural relaxation. Source: Alexandria via LeMat-Bulk, functional PBE-GGA.

Summary:
- Space group: P4/mmm (123)
- DOS at the Fermi energy: 2.521 states/eV/f.u.

abc: 4.9740 4.9740 3.5984
angles: 90.00 90.00 90.00
Closest atoms and distances in Å follow each position.
Fractional positions:
Y1 0.0000 0.5000 0.0000  2 C 2.49
Y2 0.5000 0.0000 0.0000  2 C 2.49
Co1 0.0000 0.0000 0.5000  2 C 1.80
Pt1 0.5000 0.5000 0.5000  8 Y 3.07
C1 0.0000 0.0000 0.0000  2 Co 1.80

No. 2
Mg3TiNi4 after structural relaxation. Source: Alexandria via LeMat-Bulk, functional PBE-GGA.

Summary:
- Space group: P4/mmm (123)
- DOS at the Fermi energy: 5.358 states/eV/f.u.

abc: 3.0065 3.0065 12.5239
angles: 90.00 90.00 90.00
Closest atoms and distances in Å follow each position.
Fractional positions:
Mg1 0.0000 0.0000 0.0000  8 Ni 2.65
Mg2 0.0000 0.0000 0.2524  8 Ni 2.65-2.74
Mg3 0.0000 0.0000 0.7476  8 Ni 2.65-2.74
Ti1 0.0000 0.0000 0.5000  8 Ni 2.53
Ni1 0.5000 0.5000 0.1264  8 Mg 2.65
Ni2 0.5000 0.5000 0.3909  4 Ti 2.53, 1 Ni 2.73, 4 Mg 2.74
Ni3 0.5000 0.5000 0.6091  4 Ti 2.53, 1 Ni 2.73, 4 Mg 2.74
Ni4 0.5000 0.5000 0.8736  8 Mg 2.65

| no. | magnetization (μB per formula unit) | uncorrected energy (eV per cell) | DFT formation energy (eV per atom) |
| --- | --- | --- | --- |
| 1 | 0.0 | -38.62 | -0.664 |
| 2 | 0.0 | -37.73 | -0.241 |